Record 1
An optimized crystal structure of Dy3PuN4. Source: Alexandria, functional PBE-GGA.

Summary:
The value obtained for the uncorrected formation energy is -1.5829 eV/atom. Its symmetry is Cmmm (65). The volume comes out at 118.13 Å³ per cell. The value obtained for the calculated total energy is -74.10 eV/cell.

abc: 5.999 5.999 3.479
angles: 90.00 90.00 109.38
Sites, in units of the cell vectors:
Dy 0.000 0.000 0.000
Dy 0.000 0.500 0.500
Dy 0.500 0.000 0.500
Pu 0.500 0.500 0.000
N 0.254 0.746 0.000
N 0.256 0.256 0.500
N 0.744 0.744 0.500
N 0.746 0.254 0.000


Record 2
An optimized crystal structure of CaFeSe2N. Source: Alexandria, functional PBE-GGA.

Summary:
The value obtained for the uncorrected formation energy is -0.4562 eV/atom. Its symmetry is P4/mmm (123). The volume comes out at 89.87 Å³ per cell. The value obtained for the calculated total energy is -28.04 eV/cell.

abc: 5.087 5.087 3.473
angles: 90.00 90.00 90.00
Sites, in units of the cell vectors:
Ca 0.000 0.000 0.000
Fe 0.500 0.500 0.500
Se 0.000 0.500 0.500
Se 0.500 0.000 0.500
N 0.500 0.500 0.000


Record 3
An optimized crystal structure of Ba2SrCu. Source: Alexandria, functional PBE-GGA.

Summary:
Its symmetry is I4/mmm (139). The volume comes out at 173.49 Å³ per cell. The value obtained for the calculated total energy is -8.39 eV/cell. The calculated formation energy comes out at 0.309 eV per atom.

abc: 7.122 7.122 7.122
angles: 135.75 135.75 64.36
Sites, in units of the cell vectors:
Ba 0.250 0.750 0.500
Ba 0.750 0.250 0.500
Sr 0.000 0.000 0.000
Cu 0.500 0.500 0.000


Record 4
An optimized crystal structure of ZnSe. Source: Alexandria, functional PBE-GGA.

Summary:
The value obtained for the uncorrected formation energy is -0.6150 eV/atom. Its symmetry is P6_3/m (176). The volume comes out at 345.42 Å³ per cell. The value obtained for the calculated total energy is -35.93 eV/cell.

abc: 9.817 9.817 4.139
angles: 90.00 90.00 120.00
Sites, in units of the cell vectors:
Zn 0.074 0.415 0.250
Zn 0.342 0.926 0.250
Zn 0.415 0.342 0.750
Zn 0.585 0.658 0.250
Zn 0.658 0.074 0.750
Zn 0.926 0.585 0.750
Se 0.089 0.682 0.250
Se 0.318 0.407 0.250
Se 0.407 0.089 0.750
Se 0.593 0.911 0.250
Se 0.682 0.593 0.750
Se 0.911 0.318 0.750


Repeat the third record exactly.
An optimized crystal structure of Ba2SrCu. Source: Alexandria, functional PBE-GGA.

Summary:
Its symmetry is I4/mmm (139). The volume comes out at 173.49 Å³ per cell. The value obtained for the calculated total energy is -8.39 eV/cell. The calculated formation energy comes out at 0.309 eV per atom.

abc: 7.122 7.122 7.122
angles: 135.75 135.75 64.36
Sites, in units of the cell vectors:
Ba 0.250 0.750 0.500
Ba 0.750 0.250 0.500
Sr 0.000 0.000 0.000
Cu 0.500 0.500 0.000